# 1
{
  "formula": "CaIn4Au2",
  "functional": "PBE-GGA",
  "state": "optimized geometry",
  "lattice_angstrom": [[4.2315, 0.0000, 0.0000], [0.0000, 4.5903, 0.0000], [0.0000, -2.2951, 8.9894]],
  "species": ["Ca", "In", "In", "In", "In", "Au", "Au"],
  "frac_coords": [[0.0000, 0.0000, 0.0000], [0.5000, 0.1703, 0.3406], [0.0000, 0.3126, 0.6251], [0.5000, 0.8297, 0.6594], [0.0000, 0.6874, 0.3749], [0.5000, 0.4250, 0.8501], [0.5000, 0.5750, 0.1499]],
  "e_above_lowest_polymorph_ev_per_atom": 0.083,
  "formation_energy_ev_per_atom": -0.310,
  "dos_at_fermi_per_ev_atom": 0.4003,
  "crystal_system": "orthorhombic",
  "dft_energy_ev_per_atom": -3.097
}



# 2
{
  "formula": "Ca2In3Au",
  "functional": "PBE-GGA",
  "state": "optimized geometry",
  "lattice_angstrom": [[3.6917, 0.0000, 0.0000], [0.0000, 4.9415, 0.0000], [0.0000, 0.0000, 8.5342]],
  "species": ["Ca", "Ca", "In", "In", "In", "Au"],
  "frac_coords": [[0.0000, 0.0000, 0.4864], [0.0000, 0.5000, 0.0186], [0.5000, 0.0000, 0.1739], [0.5000, 0.5000, 0.6579], [0.5000, 0.0000, 0.8338], [0.5000, 0.5000, 0.3293]],
  "formation_energy_ev_per_atom": -0.514,
  "dos_at_fermi_per_ev_atom": 0.4481,
  "crystal_system": "orthorhombic",
  "dft_energy_ev_per_atom": -3.097
}



# 3
{
  "formula": "Ca2InAu5",
  "functional": "PBE-GGA",
  "state": "optimized geometry",
  "lattice_angstrom": [[5.3271, 1.0145, -1.9941], [-2.7615, 5.0596, -0.8264], [0.6769, -0.0017, 5.7836]],
  "species": ["Au", "Au", "Au", "Au", "Au", "In", "Ca", "Ca"],
  "frac_coords": [[0.9135, 0.3191, 0.3191], [0.0931, 0.3583, 0.8493], [0.4260, 0.6553, 0.6553], [0.0931, 0.8493, 0.3583], [0.3911, 0.2398, 0.2398], [0.9668, 0.8179, 0.8179], [0.5581, 0.2074, 0.7760], [0.5582, 0.7760, 0.2074]],
  "formation_energy_ev_per_atom": -0.520,
  "dos_at_fermi_per_ev_atom": 0.3377,
  "crystal_system": "monoclinic",
  "dft_energy_ev_per_atom": -3.411
}



# 4
{
  "formula": "CaIn6Au3",
  "functional": "PBE-GGA",
  "state": "optimized geometry",
  "lattice_angstrom": [[-1.5536, 4.4404, -0.4064], [-5.8945, -2.6701, -6.6396], [-6.6346, -1.4610, 9.4010]],
  "species": ["In", "In", "In", "In", "In", "In", "In", "In", "In", "In", "In", "In", "Au", "Au", "Au", "Au", "Au", "Au", "Ca", "Ca"],
  "frac_coords": [[0.2500, 0.2414, 0.7031], [0.7500, 0.8489, 0.0255], [0.2500, 0.8890, 0.6179], [0.2500, 0.5871, 0.4340], [0.2500, 0.5485, 0.9235], [0.7500, 0.6766, 0.7676], [0.2500, 0.3234, 0.2324], [0.7500, 0.4129, 0.5660], [0.7500, 0.7586, 0.2969], [0.2500, 0.1511, 0.9745], [0.7500, 0.4515, 0.0765], [0.7500, 0.1110, 0.3821], [0.7500, 0.7364, 0.5372], [0.7500, 0.3799, 0.8158], [0.7500, 0.1588, 0.1265], [0.2500, 0.6201, 0.1842], [0.2500, 0.8412, 0.8735], [0.2500, 0.2636, 0.4628], [0.7500, 0.0361, 0.7899], [0.2500, 0.9639, 0.2101]],
  "formation_energy_ev_per_atom": -0.273,
  "dos_at_fermi_per_ev_atom": 0.3450,
  "crystal_system": "monoclinic",
  "dft_energy_ev_per_atom": -3.099
}



# 5
{
  "formula": "Ca2In12Au7",
  "functional": "PBE-GGA",
  "state": "optimized geometry",
  "lattice_angstrom": [[4.2693, 0.0000, 0.0000], [0.0000, 10.0500, -5.8024], [0.0000, 0.0000, 11.6048]],
  "species": ["Ca", "Ca", "Au", "Au", "Au", "Au", "Au", "Au", "Au", "In", "In", "In", "In", "In", "In", "In", "In", "In", "In", "In", "In"],
  "frac_coords": [[0.5000, 0.0000, 0.0000], [0.0000, 0.6667, 0.3333], [0.0000, 0.0450, 0.8054], [0.0000, 0.7605, 0.9550], [0.0000, 0.3333, 0.6667], [0.5000, 0.6242, 0.5266], [0.0000, 0.1946, 0.2395], [0.5000, 0.4734, 0.0975], [0.5000, 0.9025, 0.3758], [0.0000, 0.0549, 0.5524], [0.5000, 0.2420, 0.8018], [0.5000, 0.7220, 0.1024], [0.5000, 0.1982, 0.4402], [0.5000, 0.5598, 0.7580], [0.0000, 0.4975, 0.9451], [0.0000, 0.9531, 0.2323], [0.5000, 0.8976, 0.6196], [0.0000, 0.2792, 0.0469], [0.0000, 0.7677, 0.7208], [0.0000, 0.4476, 0.5025], [0.5000, 0.3804, 0.2779]],
  "formation_energy_ev_per_atom": -0.316,
  "dos_at_fermi_per_ev_atom": 0.3735,
  "crystal_system": "hexagonal",
  "dft_energy_ev_per_atom": -3.164
}



# 6
{
  "formula": "Ca3In6Au5",
  "functional": "PBE-GGA",
  "state": "optimized geometry",
  "lattice_angstrom": [[4.5277, 0.0000, 0.0000], [0.0000, 10.6212, 0.0000], [0.0000, 0.0000, 13.7178]],
  "species": ["In", "In", "In", "In", "In", "In", "In", "In", "In", "In", "In", "In", "Ca", "Ca", "Ca", "Ca", "Ca", "Ca", "Au", "Au", "Au", "Au", "Au", "Au", "Au", "Au", "Au", "Au"],
  "frac_coords": [[0.0000, 0.9852, 0.8418], [0.5000, 0.9674, 0.0000], [0.0000, 0.9852, 0.1582], [0.5000, 0.4121, 0.8237], [0.5000, 0.0148, 0.3418], [0.5000, 0.4121, 0.1763], [0.5000, 0.0148, 0.6582], [0.0000, 0.5879, 0.3237], [0.0000, 0.0326, 0.5000], [0.5000, 0.6052, 0.0000], [0.0000, 0.5879, 0.6763], [0.0000, 0.3948, 0.5000], [0.5000, 0.7539, 0.2021], [0.0000, 0.2461, 0.2979], [0.5000, 0.7370, 0.5000], [0.0000, 0.2630, 0.0000], [0.5000, 0.7539, 0.7979], [0.0000, 0.2461, 0.7021], [0.5000, 0.1531, 0.8476], [0.0000, 0.7956, 0.0000], [0.5000, 0.4538, 0.3840], [0.5000, 0.1531, 0.1524], [0.5000, 0.2044, 0.5000], [0.0000, 0.8469, 0.6524], [0.0000, 0.8469, 0.3476], [0.0000, 0.5462, 0.8840], [0.0000, 0.5462, 0.1160], [0.5000, 0.4538, 0.6160]],
  "formation_energy_ev_per_atom": -0.512,
  "dos_at_fermi_per_ev_atom": 0.3206,
  "crystal_system": "orthorhombic",
  "dft_energy_ev_per_atom": -3.285
}



# 7
{
  "formula": "Ca3In2Au",
  "functional": "PBE-GGA",
  "state": "optimized geometry",
  "lattice_angstrom": [[-2.2441, -2.5970, -1.6340], [1.1332, -2.5828, 2.5486], [-8.4545, 3.0169, 6.8166]],
  "species": ["Ca", "Ca", "Ca", "Au", "In", "In"],
  "frac_coords": [[0.0000, 0.0000, 0.6532], [0.0000, 0.0000, 0.3468], [0.0000, 0.0000, 0.0000], [0.5000, 0.5000, 0.5000], [0.5000, 0.5000, 0.1686], [0.5000, 0.5000, 0.8314]],
  "formation_energy_ev_per_atom": -0.557,
  "dos_at_fermi_per_ev_atom": 0.9302,
  "crystal_system": "tetragonal",
  "dft_energy_ev_per_atom": -3.017
}



# 8
{
  "formula": "Ca2In3Au6",
  "functional": "PBE-GGA",
  "state": "optimized geometry",
  "lattice_angstrom": [[3.9329, 0.0000, 0.0000], [0.0000, 8.2618, 1.0138], [0.0000, 1.9145, 8.1006]],
  "species": ["Ca", "Ca", "In", "In", "In", "Au", "Au", "Au", "Au", "Au", "Au"],
  "frac_coords": [[0.0000, 0.6987, 0.3013], [0.0000, 0.3013, 0.6987], [0.5000, 0.0000, 0.0000], [0.0000, 0.2321, 0.2321], [0.0000, 0.7679, 0.7679], [0.5000, 0.3905, 0.3905], [0.5000, 0.9540, 0.3554], [0.5000, 0.3554, 0.9540], [0.5000, 0.0460, 0.6446], [0.5000, 0.6446, 0.0460], [0.5000, 0.6095, 0.6095]],
  "formation_energy_ev_per_atom": -0.430,
  "dos_at_fermi_per_ev_atom": 0.4156,
  "crystal_system": "orthorhombic",
  "dft_energy_ev_per_atom": -3.328
}